First-principles (GGA-PBE) data for CaLa4Zr after structural relaxation, as listed in Alexandria.

**Calculated total energy**: -0.170 Ha/atom
**D(E_F)**: 1.85 states/eV per atom
**Crystal system**: cubic
**Symmetry**: F-43m, No. 216

a = 6.6957 Å, b = 6.6957 Å, c = 6.6957 Å
α = 60.00°, β = 60.00°, γ = 60.00°
With the nearest neighbours (Å) after each atom.
Sites, in units of the cell vectors:
Ca 0.0000 0.0000 0.0000  12 La 3.94, 4 Zr 4.10
La 0.1366 0.6211 0.6211  6 La 3.24-3.45
La 0.6211 0.1366 0.6211  6 La 3.24-3.45
La 0.6211 0.6211 0.1366  6 La 3.24-3.45
La 0.6211 0.6211 0.6211  6 La 3.24-3.45
Zr 0.2500 0.2500 0.2500  12 La 3.92, 4 Ca 4.10